PrSm2ErTm2 after structural relaxation, computed with PBE-GGA.

Cell lengths 5.630, 9.817, 6.989 Å; angles 90.00, 90.00, 90.00 degrees
Atoms (fractional coordinates):
Sm (0.000, 0.667, 0.753)
Er (0.000, 0.000, 0.500)
Tm (0.000, 0.667, 0.250)
Sm (0.500, 0.167, 0.747)
Pr (0.500, 0.500, 0.500)
Tm (0.500, 0.833, 0.750)
Sm (0.500, 0.833, 0.253)
Tm (0.000, 0.333, 0.750)
Tm (0.500, 0.167, 0.250)
Pr (0.000, 0.000, 0.000)
Er (0.500, 0.500, 0.000)
Sm (0.000, 0.333, 0.247)

Summary:
Fermi-level density of states = 9.19 states/eV/f.u.
Formation energy from the elements = 0.069 eV/atom
Space-group type = Pnnm
Magnetic moment = 0.0 μB/f.u.

***

PrSm2Er2Tm after structural relaxation, computed with PBE-GGA.

Cell lengths 3.510, 16.289, 6.942 Å; angles 90.00, 90.00, 90.00 degrees
Atoms (fractional coordinates):
Er (0.000, 0.653, 0.251)
Sm (0.000, 0.660, 0.753)
Er (0.500, 0.153, 0.249)
Sm (0.000, 0.340, 0.247)
Pr (0.500, 0.500, 0.500)
Er (0.000, 0.347, 0.749)
Er (0.500, 0.847, 0.751)
Tm (0.000, 0.000, 0.500)
Tm (0.500, 0.500, 0.000)
Sm (0.500, 0.160, 0.747)
Sm (0.500, 0.840, 0.253)
Pr (0.000, 0.000, 0.000)

Summary:
Fermi-level density of states = 9.02 states/eV/f.u.
Formation energy from the elements = 0.157 eV/atom
Space-group type = Pnnm
Magnetic moment = 0.0 μB/f.u.

***

Pr2Sm2ErTm after structural relaxation, computed with PBE-GGA.

Cell lengths 5.697, 7.073, 9.879 Å; angles 90.00, 90.00, 90.00 degrees
Atoms (fractional coordinates):
Sm (0.000, 0.757, 0.164)
Er (0.500, 0.258, 0.658)
Sm (0.500, 0.758, 0.667)
Pr (0.500, 0.007, 0.000)
Sm (0.500, 0.258, 0.333)
Er (0.500, 0.758, 0.342)
Sm (0.000, 0.257, 0.836)
Pr (0.000, 0.757, 0.822)
Tm (0.000, 0.008, 0.500)
Tm (0.000, 0.508, 0.500)
Pr (0.000, 0.257, 0.178)
Pr (0.500, 0.507, 0.000)

Summary:
Fermi-level density of states = 8.96 states/eV/f.u.
Formation energy from the elements = 0.063 eV/atom
Space-group type = Pmma
Magnetic moment = 0.0 μB/f.u.

***

Pr3SmEr2Tm6 after structural relaxation, computed with PBE-GGA.

Cell lengths 6.177, 6.177, 11.716 Å; angles 95.03, 95.03, 119.98 degrees
Atoms (fractional coordinates):
Pr (0.167, 0.833, 0.500)
Sm (0.000, 0.000, 0.000)
Pr (0.500, 0.500, 0.500)
Er (0.667, 0.333, 0.000)
Tm (0.251, 0.251, 0.754)
Pr (0.833, 0.167, 0.500)
Tm (0.584, 0.918, 0.754)
Er (0.333, 0.667, 0.000)
Tm (0.749, 0.749, 0.246)
Tm (0.918, 0.584, 0.754)
Tm (0.082, 0.416, 0.246)
Tm (0.416, 0.082, 0.246)

Summary:
Fermi-level density of states = 15.11 states/eV/f.u.
Formation energy from the elements = 0.024 eV/atom
Space-group type = C2/m
Magnetic moment = 0.0 μB/f.u.

***

Pr5SmEr2Tm after structural relaxation, computed with PBE-GGA.

Cell lengths 5.651, 10.672, 10.796 Å; angles 90.00, 90.00, 105.35 degrees
Atoms (fractional coordinates):
Pr (0.615, 0.230, 0.521)
Pr (0.704, 0.409, 0.205)
Pr (0.516, 0.032, 0.245)
Er (0.886, 0.771, 0.806)
Pr (0.720, 0.440, 0.812)
Er (0.111, 0.223, 0.741)
Pr (0.280, 0.560, 0.312)
Tm (0.593, 0.185, 0.966)
Pr (0.296, 0.591, 0.705)
Pr (0.385, 0.770, 0.021)
Sm (0.801, 0.601, 0.511)
Er (0.889, 0.777, 0.241)
Pr (0.484, 0.968, 0.745)
Tm (0.407, 0.815, 0.466)
Pr (0.015, 0.029, 0.017)
Pr (0.985, 0.971, 0.517)
Sm (0.199, 0.399, 0.011)
Er (0.114, 0.229, 0.306)

Summary:
Fermi-level density of states = 14.40 states/eV/f.u.
Formation energy from the elements = 0.142 eV/atom
Space-group type = Cmc2_1
Magnetic moment = 0.0 μB/f.u.

***

Pr2SmEr6Tm3 after structural relaxation, computed with PBE-GGA.

Cell lengths 6.148, 6.148, 11.723 Å; angles 95.01, 95.01, 119.95 degrees
Atoms (fractional coordinates):
Er (0.914, 0.581, 0.745)
Er (0.581, 0.914, 0.745)
Er (0.753, 0.753, 0.255)
Pr (0.667, 0.333, 0.000)
Sm (0.000, 0.000, 0.000)
Tm (0.500, 0.500, 0.500)
Tm (0.833, 0.167, 0.500)
Er (0.247, 0.247, 0.745)
Pr (0.333, 0.667, 0.000)
Tm (0.167, 0.833, 0.500)
Er (0.419, 0.086, 0.255)
Er (0.086, 0.419, 0.255)

Summary:
Fermi-level density of states = 16.66 states/eV/f.u.
Formation energy from the elements = 0.025 eV/atom
Space-group type = C2/m
Magnetic moment = 0.0 μB/f.u.

***

PrSmEr2Tm2 after structural relaxation, computed with PBE-GGA.

Cell lengths 3.391, 6.546, 17.743 Å; angles 90.00, 90.00, 90.00 degrees
Atoms (fractional coordinates):
Er (0.500, 0.724, 0.686)
Pr (0.500, 0.500, 0.500)
Er (0.000, 0.776, 0.186)
Sm (0.500, 0.500, 0.000)
Tm (0.000, 0.722, 0.850)
Sm (0.000, 0.000, 0.500)
Tm (0.500, 0.222, 0.650)
Er (0.500, 0.276, 0.314)
Tm (0.500, 0.778, 0.350)
Tm (0.000, 0.278, 0.150)
Pr (0.000, 0.000, 0.000)
Er (0.000, 0.224, 0.814)

Summary:
Fermi-level density of states = 9.12 states/eV/f.u.
Formation energy from the elements = 0.285 eV/atom
Space-group type = Pnnm
Magnetic moment = 0.0 μB/f.u.

***

Pr2SmYEr5 after structural relaxation, computed with PBE-GGA.

Cell lengths 8.618, 8.618, 9.942 Å; angles 115.69, 115.69, 90.00 degrees
Atoms (fractional coordinates):
Sm (0.250, 0.750, 0.500)
Er (0.929, 0.429, 0.281)
Er (0.000, 0.000, 0.000)
Er (0.500, 0.500, 0.000)
Y (0.750, 0.750, 0.500)
Pr (0.619, 0.119, 0.000)
Er (0.352, 0.852, 0.281)
Er (0.071, 0.571, 0.719)
Pr (0.881, 0.619, 0.000)
Y (0.250, 0.250, 0.500)
Er (0.852, 0.929, 0.281)
Er (0.148, 0.071, 0.719)
Pr (0.119, 0.381, 0.000)
Pr (0.381, 0.881, 0.000)
Er (0.429, 0.352, 0.281)
Er (0.648, 0.148, 0.719)
Sm (0.750, 0.250, 0.500)
Er (0.571, 0.648, 0.719)

Summary:
Fermi-level density of states = 10.53 states/eV/f.u.
Formation energy from the elements = 0.259 eV/atom
Space-group type = I4/mcm
Magnetic moment = 0.0 μB/f.u.

***

Number 1: calculated volume 32.2 Å³ per atom. Number 2: calculated volume 33.1 Å³ per atom. Number 3: calculated volume 33.2 Å³ per atom. Number 4: calculated volume 31.8 Å³ per atom. Number 5: calculated volume 34.9 Å³ per atom. Number 6: calculated volume 31.5 Å³ per atom. Number 7: calculated volume 32.8 Å³ per atom. Number 8: calculated volume 32.4 Å³ per atom.